(1)
# SrAl2Tl2

SrAl2Tl2 after structural relaxation (PBE-GGA, the Alexandria database).

Values from the calculation:
symmetry: No. 139
E: -2.896 eV per atom

Cell and atoms, written as extended XYZ:
```
5
Lattice="-3.185 -3.194 -2.010 3.595 -3.366 -0.348 -1.086 -5.185 3.896" Properties=species:S:1:pos:R:3 pbc="T T T"
Tl -2.033 -5.829 0.353
Al -0.582 -8.025 1.544
Sr 0.000 0.000 0.000
Al -0.093 -3.720 -0.006
Tl 1.357 -5.915 1.184
```

(2)
# Sr4AlTl3

Sr4AlTl3 after structural relaxation (PBE-GGA, the Alexandria database).

Values from the calculation:
symmetry: No. 123
E: -2.536 eV per atom

Cell and atoms, written as extended XYZ:
```
8
Lattice="-0.013 3.850 1.245 0.393 -1.238 3.832 16.308 0.540 -1.497" Properties=species:S:1:pos:R:3 pbc="T T T"
Tl 8.344 1.576 1.790
Tl 4.176 1.438 2.173
Sr 1.919 0.064 -0.176
Sr 14.389 0.476 -1.321
Sr 10.239 0.339 -0.940
Tl 12.512 1.714 1.407
Sr 6.069 0.201 -0.557
Al 0.190 1.306 2.539
```

(3)
# Sr2AlTl

Sr2AlTl after structural relaxation (PBE-GGA, the Alexandria database).

Values from the calculation:
symmetry: No. 38
E: -2.628 eV per atom

Cell and atoms, written as extended XYZ:
```
4
Lattice="4.965 0.000 0.000 0.000 4.301 0.008 0.000 2.132 6.388" Properties=species:S:1:pos:R:3 pbc="T T T"
Sr 0.000 6.169 5.877
Tl 0.000 4.024 3.104
Sr 2.482 1.874 2.115
Al 2.482 4.018 4.895
```

(4)
# Sr8AlTl2

Sr8AlTl2 after structural relaxation (PBE-GGA, the Alexandria database).

Values from the calculation:
symmetry: No. 12
E: -2.198 eV per atom

Cell and atoms, written as extended XYZ:
```
11
Lattice="-4.885 2.312 -2.242 -3.686 -0.816 7.192 6.966 7.850 0.551" Properties=species:S:1:pos:R:3 pbc="T T T"
Tl -0.669 6.667 0.698
Tl -0.937 2.679 4.804
Sr -2.301 5.992 3.559
Sr 2.868 5.987 -0.076
Sr -4.474 3.359 5.578
Al -2.443 1.156 -1.121
Sr -3.209 2.526 1.961
Sr -2.667 -0.149 5.659
Sr 1.603 6.820 3.540
Sr 0.696 3.354 1.943
Sr 1.061 9.495 -0.157
```

(5)
# Sr2Al2Tl

Sr2Al2Tl after structural relaxation (PBE-GGA, the Alexandria database).

Values from the calculation:
symmetry: No. 127
E: -2.799 eV per atom

Cell and atoms, written as extended XYZ:
```
10
Lattice="-4.512 -4.877 3.734 -2.950 -2.343 -6.626 3.664 -3.650 -0.340" Properties=species:S:1:pos:R:3 pbc="T T T"
Tl -3.731 -3.610 -1.446
Al -4.284 -3.890 -4.402
Tl 0.000 0.000 0.000
Al -3.178 -3.331 1.509
Al -5.794 -5.736 -0.859
Al -1.668 -1.485 -2.033
Sr -0.148 -3.815 -0.136
Sr -3.650 -7.055 -3.097
Sr -0.963 -4.274 -3.995
Sr -2.835 -6.597 0.762
```

(6)
# Sr8Al2Tl

Sr8Al2Tl after structural relaxation (PBE-GGA, the Alexandria database).

Values from the calculation:
symmetry: No. 71
E: -2.192 eV per atom

Cell and atoms, written as extended XYZ:
```
11
Lattice="-2.548 -4.055 -2.955 0.607 5.186 -7.640 8.409 -3.981 3.570" Properties=species:S:1:pos:R:3 pbc="T T T"
Sr 6.278 -4.472 -4.635
Tl -1.274 -2.027 -1.478
Sr 4.906 -3.439 0.489
Al 3.375 -4.162 -2.557
Sr 4.348 -1.876 -6.532
Sr 5.170 -1.187 -2.829
Sr 1.562 0.590 -7.514
Sr 0.190 1.622 -2.390
Al 3.094 1.312 -4.468
Sr 2.121 -0.974 -0.492
Sr 1.299 -1.663 -4.196
```